Crystalline Li at its relaxed geometry. Source: the Alexandria database, functional PBE.

Cell and atoms, written as CIF:
```
data_Li
_cell_length_a 4.933
_cell_length_b 4.933
_cell_length_c 2.872
_cell_angle_alpha 90.00
_cell_angle_beta 90.00
_cell_angle_gamma 120.00
_symmetry_space_group_name_H-M 'P 1'
_symmetry_Int_Tables_number 1
loop_
_symmetry_equiv_pos_as_xyz
'x,y,z'
loop_
_atom_site_label
_atom_site_fract_x
_atom_site_fract_y
_atom_site_fract_z
Li1 0.000 0.000 0.000
Li2 0.667 0.333 0.500
Li3 0.333 0.667 0.500
```

Summary:
Total magnetic moment: 0.0 μB per formula unit
Energy above the most stable polymorph in this dataset: 2.2 kJ/mol of atoms
Space-group type: No. 191
Crystal system: hexagonal
V: 20.2 A^3/atom
E_form: 0.023 eV/atom


Crystalline Li at its relaxed geometry. Source: the Alexandria database, functional PBE.

Cell and atoms, written as CIF:
```
data_Li
_cell_length_a 10.572
_cell_length_b 10.572
_cell_length_c 2.962
_cell_angle_alpha 90.00
_cell_angle_beta 90.00
_cell_angle_gamma 90.00
_symmetry_space_group_name_H-M 'P 1'
_symmetry_Int_Tables_number 1
loop_
_symmetry_equiv_pos_as_xyz
'x,y,z'
loop_
_atom_site_label
_atom_site_fract_x
_atom_site_fract_y
_atom_site_fract_z
Li1 0.346 0.925 0.000
Li2 0.654 0.075 0.000
Li3 0.075 0.346 0.000
Li4 0.925 0.654 0.000
Li5 0.846 0.425 0.500
Li6 0.154 0.575 0.500
Li7 0.575 0.846 0.500
Li8 0.425 0.154 0.500
Li9 0.341 0.387 0.000
Li10 0.659 0.613 0.000
Li11 0.613 0.341 0.000
Li12 0.387 0.659 0.000
Li13 0.841 0.887 0.500
Li14 0.159 0.113 0.500
Li15 0.113 0.841 0.500
Li16 0.887 0.159 0.500
```

Summary:
Total magnetic moment: 0.0 μB per formula unit
Energy above the most stable polymorph in this dataset: 5.3 kJ/mol of atoms
Space-group type: No. 87
Crystal system: tetragonal
V: 20.7 A^3/atom
E_form: 0.055 eV/atom


Crystalline Li at its relaxed geometry. Source: the Alexandria database, functional PBE.

Cell and atoms, written as CIF:
```
data_Li
_cell_length_a 3.057
_cell_length_b 3.057
_cell_length_c 3.057
_cell_angle_alpha 59.84
_cell_angle_beta 59.84
_cell_angle_gamma 59.84
_symmetry_space_group_name_H-M 'P 1'
_symmetry_Int_Tables_number 1
loop_
_symmetry_equiv_pos_as_xyz
'x,y,z'
loop_
_atom_site_label
_atom_site_fract_x
_atom_site_fract_y
_atom_site_fract_z
Li1 0.000 0.000 0.000
```

Summary:
Total magnetic moment: 0.0 μB per formula unit
Energy above the most stable polymorph in this dataset: 0.9 kJ/mol of atoms
Space-group type: No. 166
Crystal system: trigonal
V: 20.1 A^3/atom
E_form: 0.009 eV/atom


Crystalline Li at its relaxed geometry. Source: the Alexandria database, functional PBE.

Cell and atoms, written as CIF:
```
data_Li
_cell_length_a 4.628
_cell_length_b 4.628
_cell_length_c 5.034
_cell_angle_alpha 90.00
_cell_angle_beta 90.00
_cell_angle_gamma 120.00
_symmetry_space_group_name_H-M 'P 1'
_symmetry_Int_Tables_number 1
loop_
_symmetry_equiv_pos_as_xyz
'x,y,z'
loop_
_atom_site_label
_atom_site_fract_x
_atom_site_fract_y
_atom_site_fract_z
Li1 0.000 0.000 0.250
Li2 0.000 0.000 0.750
Li3 0.333 0.667 0.250
Li4 0.667 0.333 0.750
```

Summary:
Total magnetic moment: 0.0 μB per formula unit
Energy above the most stable polymorph in this dataset: 28.1 kJ/mol of atoms
Space-group type: No. 194
Crystal system: hexagonal
V: 23.3 A^3/atom
E_form: 0.291 eV/atom


Crystalline Li at its relaxed geometry. Source: the Alexandria database, functional PBE.

Cell and atoms, written as CIF:
```
data_Li
_cell_length_a 7.925
_cell_length_b 7.925
_cell_length_c 5.726
_cell_angle_alpha 90.00
_cell_angle_beta 90.00
_cell_angle_gamma 137.32
_symmetry_space_group_name_H-M 'P 1'
_symmetry_Int_Tables_number 1
loop_
_symmetry_equiv_pos_as_xyz
'x,y,z'
loop_
_atom_site_label
_atom_site_fract_x
_atom_site_fract_y
_atom_site_fract_z
Li1 0.750 0.750 0.000
Li2 0.750 0.750 0.500
Li3 0.250 0.250 0.500
Li4 0.250 0.250 0.000
Li5 0.153 0.838 0.750
Li6 0.347 0.662 0.250
Li7 0.338 0.653 0.750
Li8 0.162 0.847 0.250
Li9 0.847 0.162 0.250
Li10 0.653 0.338 0.750
Li11 0.662 0.347 0.250
Li12 0.838 0.153 0.750
```

Summary:
Total magnetic moment: 0.0 μB per formula unit
Energy above the most stable polymorph in this dataset: 5.6 kJ/mol of atoms
Space-group type: No. 51
Crystal system: orthorhombic
V: 20.3 A^3/atom
E_form: 0.058 eV/atom


Crystalline Li at its relaxed geometry. Source: the Alexandria database, functional PBE.

Cell and atoms, written as CIF:
```
data_Li
_cell_length_a 10.138
_cell_length_b 10.138
_cell_length_c 2.861
_cell_angle_alpha 90.00
_cell_angle_beta 90.00
_cell_angle_gamma 120.00
_symmetry_space_group_name_H-M 'P 1'
_symmetry_Int_Tables_number 1
loop_
_symmetry_equiv_pos_as_xyz
'x,y,z'
loop_
_atom_site_label
_atom_site_fract_x
_atom_site_fract_y
_atom_site_fract_z
Li1 0.776 0.069 0.250
Li2 0.706 0.776 0.750
Li3 0.931 0.706 0.250
Li4 0.224 0.931 0.750
Li5 0.294 0.224 0.250
Li6 0.069 0.294 0.750
Li7 0.852 0.386 0.250
Li8 0.466 0.852 0.750
Li9 0.614 0.466 0.250
Li10 0.148 0.614 0.750
Li11 0.534 0.148 0.250
Li12 0.386 0.534 0.750
```

Summary:
Total magnetic moment: 0.0 μB per formula unit
Energy above the most stable polymorph in this dataset: 7.9 kJ/mol of atoms
Space-group type: No. 176
Crystal system: hexagonal
V: 21.2 A^3/atom
E_form: 0.082 eV/atom


Crystalline Li at its relaxed geometry. Source: the Alexandria database, functional PBE.

Cell and atoms, written as CIF:
```
data_Li
_cell_length_a 3.281
_cell_length_b 3.281
_cell_length_c 3.751
_cell_angle_alpha 90.00
_cell_angle_beta 90.00
_cell_angle_gamma 90.00
_symmetry_space_group_name_H-M 'P 1'
_symmetry_Int_Tables_number 1
loop_
_symmetry_equiv_pos_as_xyz
'x,y,z'
loop_
_atom_site_label
_atom_site_fract_x
_atom_site_fract_y
_atom_site_fract_z
Li1 0.000 0.000 0.500
Li2 0.500 0.500 0.000
```

Summary:
Total magnetic moment: 0.0 μB per formula unit
Energy above the most stable polymorph in this dataset: 0.5 kJ/mol of atoms
Space-group type: No. 139
Crystal system: tetragonal
V: 20.2 A^3/atom
E_form: 0.006 eV/atom


Crystalline Li at its relaxed geometry. Source: the Alexandria database, functional PBE.

Cell and atoms, written as CIF:
```
data_Li
_cell_length_a 2.946
_cell_length_b 2.946
_cell_length_c 2.667
_cell_angle_alpha 90.00
_cell_angle_beta 90.00
_cell_angle_gamma 120.00
_symmetry_space_group_name_H-M 'P 1'
_symmetry_Int_Tables_number 1
loop_
_symmetry_equiv_pos_as_xyz
'x,y,z'
loop_
_atom_site_label
_atom_site_fract_x
_atom_site_fract_y
_atom_site_fract_z
Li1 0.000 0.000 0.000
```

Summary:
Total magnetic moment: 0.0 μB per formula unit
Energy above the most stable polymorph in this dataset: 7.3 kJ/mol of atoms
Space-group type: No. 191
Crystal system: hexagonal
V: 20.0 A^3/atom
E_form: 0.076 eV/atom